#A
Here is a relaxed structure of GaSiN2F from the Alexandria database. Energies are from GGA-PBE.

a b c (Å): 3.685 3.685 3.550
angles (deg): 90.00 90.00 90.00
Element x y z (fractional)
1 Ga 0.000 0.000 0.000
2 Si 0.500 0.500 0.500
3 N 0.000 0.500 0.500
4 N 0.500 0.000 0.500
5 F 0.500 0.500 0.000

Values from the calculation:
space-group type = No. 123
DOS at the Fermi energy = 0.88 states/eV per cell


#B
Here is a relaxed structure of GaSiN2F from the Alexandria database. Energies are from GGA-PBE.

a b c (Å): 3.912 3.912 3.855
angles (deg): 90.00 90.00 90.00
Element x y z (fractional)
1 Ga 0.000 0.000 0.000
2 Si 0.500 0.500 0.500
3 N 0.000 0.500 0.000
4 N 0.500 0.000 0.000
5 F 0.000 0.000 0.500

Values from the calculation:
space-group type = No. 123
DOS at the Fermi energy = 2.88 states/eV per cell


Order from most stable to least stable according to the calculation: #A, #B


#A
Here is a relaxed structure of SrGaNF2 from the Alexandria database. Energies are from GGA-PBE.

a b c (Å): 4.261 4.261 3.714
angles (deg): 90.00 90.00 90.00
Element x y z (fractional)
1 Sr 0.000 0.000 0.000
2 Ga 0.500 0.500 0.500
3 N 0.500 0.500 0.000
4 F 0.000 0.500 0.500
5 F 0.500 0.000 0.500

Values from the calculation:
space-group type = No. 123


#B
Here is a relaxed structure of SrGaNF2 from the Alexandria database. Energies are from GGA-PBE.

a b c (Å): 4.664 4.664 5.184
angles (deg): 90.00 90.00 90.00
Element x y z (fractional)
1 Sr 0.000 0.000 0.000
2 Ga 0.500 0.500 0.500
3 N 0.000 0.000 0.500
4 F 0.000 0.500 0.000
5 F 0.500 0.000 0.000

Values from the calculation:
space-group type = No. 123
DOS at the Fermi energy = 1.50 states/eV per cell


Order from most stable to least stable according to the calculation: #A, #B


#A
Here is a relaxed structure of TaGaN2F from the Alexandria database. Energies are from GGA-PBE.

a b c (Å): 3.943 3.943 3.558
angles (deg): 90.00 90.00 90.00
Element x y z (fractional)
1 Ta 0.000 0.000 0.000
2 Ga 0.500 0.500 0.500
3 N 0.000 0.500 0.500
4 N 0.500 0.000 0.500
5 F 0.500 0.500 0.000

Values from the calculation:
space-group type = No. 123
DOS at the Fermi energy = 2.13 states/eV per cell


#B
Here is a relaxed structure of TaGaN2F from the Alexandria database. Energies are from GGA-PBE.

a b c (Å): 4.083 4.083 4.143
angles (deg): 90.00 90.00 90.00
Element x y z (fractional)
1 Ta 0.000 0.000 0.000
2 Ga 0.500 0.500 0.500
3 N 0.000 0.500 0.000
4 N 0.500 0.000 0.000
5 F 0.000 0.000 0.500

Values from the calculation:
space-group type = No. 123
DOS at the Fermi energy = 2.16 states/eV per cell


Order from most stable to least stable according to the calculation: #B, #A


#A
Here is a relaxed structure of GaTcN2F from the Alexandria database. Energies are from GGA-PBE.

a b c (Å): 3.961 3.961 3.684
angles (deg): 90.00 90.00 90.00
Element x y z (fractional)
1 Ga 0.000 0.000 0.000
2 Tc 0.500 0.500 0.000
3 N 0.000 0.500 0.500
4 N 0.500 0.000 0.500
5 F 0.000 0.000 0.500

Values from the calculation:
space-group type = No. 123
DOS at the Fermi energy = 5.20 states/eV per cell


#B
Here is a relaxed structure of GaTcN2F from the Alexandria database. Energies are from GGA-PBE.

a b c (Å): 3.884 3.884 4.300
angles (deg): 90.00 90.00 90.00
Element x y z (fractional)
1 Ga 0.000 0.000 0.000
2 Tc 0.500 0.500 0.500
3 N 0.000 0.500 0.500
4 N 0.500 0.000 0.500
5 F 0.500 0.500 0.000

Values from the calculation:
space-group type = No. 123
DOS at the Fermi energy = 2.98 states/eV per cell


Order from most stable to least stable according to the calculation: #B, #A


#A
Here is a relaxed structure of GaTcNF2 from the Alexandria database. Energies are from GGA-PBE.

a b c (Å): 3.986 3.986 3.898
angles (deg): 90.00 90.00 90.00
Element x y z (fractional)
1 Ga 0.000 0.000 0.000
2 Tc 0.500 0.500 0.500
3 N 0.000 0.000 0.500
4 F 0.000 0.500 0.000
5 F 0.500 0.000 0.000

Values from the calculation:
space-group type = No. 123
DOS at the Fermi energy = 1.10 states/eV per cell


#B
Here is a relaxed structure of GaTcNF2 from the Alexandria database. Energies are from GGA-PBE.

a b c (Å): 4.299 4.299 3.798
angles (deg): 90.00 90.00 90.00
Element x y z (fractional)
1 Ga 0.000 0.000 0.000
2 Tc 0.500 0.500 0.500
3 N 0.500 0.500 0.000
4 F 0.000 0.500 0.500
5 F 0.500 0.000 0.500

Values from the calculation:
space-group type = No. 123
DOS at the Fermi energy = 3.26 states/eV per cell


Order from most stable to least stable according to the calculation: #B, #A


#A
Here is a relaxed structure of GaTeNF2 from the Alexandria database. Energies are from GGA-PBE.

a b c (Å): 4.681 4.681 4.095
angles (deg): 90.00 90.00 90.00
Element x y z (fractional)
1 Ga 0.000 0.000 0.000
2 Te 0.500 0.500 0.500
3 N 0.500 0.500 0.000
4 F 0.000 0.500 0.500
5 F 0.500 0.000 0.500

Values from the calculation:
space-group type = No. 123
DOS at the Fermi energy = 0.52 states/eV per cell


#B
Here is a relaxed structure of GaTeNF2 from the Alexandria database. Energies are from GGA-PBE.

a b c (Å): 3.966 3.966 4.235
angles (deg): 90.00 90.00 90.00
Element x y z (fractional)
1 Ga 0.000 0.000 0.000
2 Te 0.500 0.500 0.500
3 N 0.000 0.000 0.500
4 F 0.000 0.500 0.000
5 F 0.500 0.000 0.000

Values from the calculation:
space-group type = No. 123
DOS at the Fermi energy = 1.89 states/eV per cell


Order from most stable to least stable according to the calculation: #B, #A


#A
Here is a relaxed structure of TiGaNF2 from the Alexandria database. Energies are from GGA-PBE.

a b c (Å): 3.970 3.970 3.809
angles (deg): 90.00 90.00 90.00
Element x y z (fractional)
1 Ti 0.000 0.000 0.000
2 Ga 0.500 0.500 0.500
3 N 0.500 0.500 0.000
4 F 0.000 0.500 0.500
5 F 0.500 0.000 0.500

Values from the calculation:
space-group type = No. 123
DOS at the Fermi energy = 4.56 states/eV per cell


#B
Here is a relaxed structure of TiGaNF2 from the Alexandria database. Energies are from GGA-PBE.

a b c (Å): 4.117 4.117 3.906
angles (deg): 90.00 90.00 90.00
Element x y z (fractional)
1 Ti 0.000 0.000 0.000
2 Ga 0.500 0.500 0.500
3 N 0.000 0.000 0.500
4 F 0.000 0.500 0.000
5 F 0.500 0.000 0.000

Values from the calculation:
space-group type = No. 123
DOS at the Fermi energy = 0.76 states/eV per cell


Order from most stable to least stable according to the calculation: #B, #A


#A
Here is a relaxed structure of TiGaN2F from the Alexandria database. Energies are from GGA-PBE.

a b c (Å): 3.883 3.883 3.685
angles (deg): 90.00 90.00 90.00
Element x y z (fractional)
1 Ti 0.000 0.000 0.000
2 Ga 0.500 0.500 0.500
3 N 0.000 0.500 0.500
4 N 0.500 0.000 0.500
5 F 0.500 0.500 0.000

Values from the calculation:
space-group type = No. 123
DOS at the Fermi energy = 3.67 states/eV per cell


#B
Here is a relaxed structure of TiGaN2F from the Alexandria database. Energies are from GGA-PBE.

a b c (Å): 3.991 3.991 3.910
angles (deg): 90.00 90.00 90.00
Element x y z (fractional)
1 Ti 0.000 0.000 0.000
2 Ga 0.500 0.500 0.500
3 N 0.000 0.500 0.000
4 N 0.500 0.000 0.000
5 F 0.000 0.000 0.500

Values from the calculation:
space-group type = No. 123
DOS at the Fermi energy = 2.25 states/eV per cell


Order from most stable to least stable according to the calculation: #B, #A


#A
Here is a relaxed structure of TlGaN2F from the Alexandria database. Energies are from GGA-PBE.

a b c (Å): 4.019 4.019 4.005
angles (deg): 90.00 90.00 90.00
Element x y z (fractional)
1 Tl 0.000 0.000 0.000
2 Ga 0.500 0.500 0.500
3 N 0.000 0.500 0.500
4 N 0.500 0.000 0.500
5 F 0.500 0.500 0.000

Values from the calculation:
space-group type = No. 123
DOS at the Fermi energy = 2.52 states/eV per cell


#B
Here is a relaxed structure of TlGaN2F from the Alexandria database. Energies are from GGA-PBE.

a b c (Å): 4.394 4.394 4.659
angles (deg): 90.00 90.00 90.00
Element x y z (fractional)
1 Tl 0.000 0.000 0.000
2 Ga 0.500 0.500 0.500
3 N 0.000 0.500 0.000
4 N 0.500 0.000 0.000
5 F 0.000 0.000 0.500

Values from the calculation:
space-group type = No. 123
DOS at the Fermi energy = 1.63 states/eV per cell


Order from most stable to least stable according to the calculation: #A, #B